Entry 1:
## NdY2Tl2Hg2 (PBE-GGA)

Data for a geometry-optimized NdY2Tl2Hg2 structure.

As for the space-group type: No. 166. The value obtained for the energy relative to the elements is -0.23 eV per atom. The value obtained for the density of states at the Fermi level is 4.233 states/eV per cell.

Cell lengths 9.4414, 9.4414, 9.4414 Å; angles 30.82, 30.82, 30.82 degrees
Last column: nearest neighbours and their distance in Å.
Element x y z (fractional)
Nd 0.0000 0.0000 0.0000  6 Tl 3.36, 2 Y 3.59
Y 0.1331 0.1331 0.1331  3 Hg 3.01
Y 0.8669 0.8669 0.8669  3 Hg 3.01
Tl 0.2705 0.2705 0.2705  3 Hg 3.09, 3 Nd 3.36, 3 Y 3.46
Tl 0.7295 0.7295 0.7295  3 Hg 3.09, 3 Nd 3.36, 3 Y 3.46
Hg 0.4364 0.4364 0.4364  3 Y 3.01, 3 Tl 3.09
Hg 0.5636 0.5636 0.5636  3 Y 3.01, 3 Tl 3.09

---

Entry 2:
## Nd3TmHg12 (PBE-GGA)

Data for a geometry-optimized Nd3TmHg12 structure.

As for the space-group type: No. 123. The value obtained for the energy relative to the elements is -0.33 eV per atom. The value obtained for the density of states at the Fermi level is 13.835 states/eV per cell.

Cell lengths 4.6650, 4.6650, 18.7846 Å; angles 90.00, 90.00, 90.00 degrees
Last column: nearest neighbours and their distance in Å.
Element x y z (fractional)
Nd 0.0000 0.0000 0.0000  12 Hg 3.30-3.34
Nd 0.0000 0.0000 0.2557  12 Hg 3.30-3.35
Nd 0.0000 0.0000 0.7443  12 Hg 3.30-3.35
Tm 0.0000 0.0000 0.5000  12 Hg 3.23-3.30
Hg 0.0000 0.5000 0.1274  8 Hg 3.30-3.34, 4 Nd 3.34-3.35
Hg 0.0000 0.5000 0.3809  8 Hg 3.23-3.32, 2 Tm 3.23, 2 Nd 3.31
Hg 0.0000 0.5000 0.6191  8 Hg 3.23-3.32, 2 Tm 3.23, 2 Nd 3.31
Hg 0.0000 0.5000 0.8726  8 Hg 3.30-3.34, 4 Nd 3.34-3.35
Hg 0.5000 0.0000 0.1274  8 Hg 3.30-3.34, 4 Nd 3.34-3.35
Hg 0.5000 0.0000 0.3809  8 Hg 3.23-3.32, 2 Tm 3.23, 2 Nd 3.31
Hg 0.5000 0.0000 0.6191  8 Hg 3.23-3.32, 2 Tm 3.23, 2 Nd 3.31
Hg 0.5000 0.0000 0.8726  8 Hg 3.30-3.34, 4 Nd 3.34-3.35
Hg 0.5000 0.5000 0.0000  4 Nd 3.30, 8 Hg 3.34
Hg 0.5000 0.5000 0.2548  4 Nd 3.30, 8 Hg 3.32-3.34
Hg 0.5000 0.5000 0.5000  8 Hg 3.23, 4 Tm 3.30
Hg 0.5000 0.5000 0.7452  4 Nd 3.30, 8 Hg 3.32-3.34

---

Entry 3:
## Nd12TmHg6 (PBE-GGA)

Data for a geometry-optimized Nd12TmHg6 structure.

As for the space-group type: No. 148. The value obtained for the energy relative to the elements is -0.19 eV per atom. The value obtained for the density of states at the Fermi level is 20.738 states/eV per cell.

Cell lengths 9.2115, 9.2115, 9.2115 Å; angles 110.44, 110.44, 110.44 degrees
Last column: nearest neighbours and their distance in Å.
Element x y z (fractional)
Nd 0.0263 0.2073 0.2837  2 Hg 3.20-3.42, 4 Nd 3.31-3.50, 1 Tm 3.50
Nd 0.2073 0.2837 0.0263  2 Hg 3.20-3.42, 4 Nd 3.31-3.50, 1 Tm 3.50
Nd 0.2407 0.7068 0.5837  4 Hg 3.24-3.48, 2 Nd 3.31-3.50
Nd 0.2837 0.0263 0.2073  2 Hg 3.20-3.42, 4 Nd 3.31-3.50, 1 Tm 3.50
Nd 0.2932 0.4163 0.7593  4 Hg 3.24-3.48, 2 Nd 3.31-3.50
Nd 0.4163 0.7593 0.2932  4 Hg 3.24-3.48, 2 Nd 3.31-3.50
Nd 0.5837 0.2407 0.7068  4 Hg 3.24-3.48, 2 Nd 3.31-3.50
Nd 0.7068 0.5837 0.2407  4 Hg 3.24-3.48, 2 Nd 3.31-3.50
Nd 0.7163 0.9737 0.7927  2 Hg 3.20-3.42, 4 Nd 3.31-3.50, 1 Tm 3.50
Nd 0.7593 0.2932 0.4163  4 Hg 3.24-3.48, 2 Nd 3.31-3.50
Nd 0.7927 0.7163 0.9737  2 Hg 3.20-3.42, 4 Nd 3.31-3.50, 1 Tm 3.50
Nd 0.9737 0.7927 0.7163  2 Hg 3.20-3.42, 4 Nd 3.31-3.50, 1 Tm 3.50
Tm 0.5000 0.5000 0.5000  12 Nd 3.50-3.66
Hg 0.0373 0.5399 0.8648  1 Hg 3.06, 3 Nd 3.20-3.28
Hg 0.1352 0.9627 0.4601  1 Hg 3.06, 3 Nd 3.20-3.28
Hg 0.4601 0.1352 0.9627  1 Hg 3.06, 3 Nd 3.20-3.28
Hg 0.5399 0.8648 0.0373  1 Hg 3.06, 3 Nd 3.20-3.28
Hg 0.8648 0.0373 0.5399  1 Hg 3.06, 3 Nd 3.20-3.28
Hg 0.9627 0.4601 0.1352  1 Hg 3.06, 3 Nd 3.20-3.28

---

Entry 4:
## NdTmHg4 (PBE-GGA)

Data for a geometry-optimized NdTmHg4 structure.

As for the space-group type: No. 216. The value obtained for the energy relative to the elements is -0.21 eV per atom. The value obtained for the density of states at the Fermi level is 3.658 states/eV per cell.

Cell lengths 5.9799, 5.9799, 5.9799 Å; angles 60.00, 60.00, 60.00 degrees
Last column: nearest neighbours and their distance in Å.
Element x y z (fractional)
Nd 0.0000 0.0000 0.0000  12 Hg 3.51, 4 Tm 3.66
Tm 0.2500 0.2500 0.2500  12 Hg 3.51, 4 Nd 3.66
Hg 0.1251 0.6250 0.6250  6 Hg 2.99
Hg 0.6250 0.1251 0.6250  6 Hg 2.99
Hg 0.6250 0.6250 0.1251  6 Hg 2.99
Hg 0.6250 0.6250 0.6250  6 Hg 2.99

---

Entry 5:
## NdTm3Hg2 (PBE-GGA)

Data for a geometry-optimized NdTm3Hg2 structure.

As for the space-group type: No. 26. The value obtained for the energy relative to the elements is -0.35 eV per atom. The value obtained for the density of states at the Fermi level is 5.948 states/eV per cell.

Cell lengths 5.0598, 9.2205, 7.1366 Å; angles 90.00, 90.00, 90.00 degrees
Last column: nearest neighbours and their distance in Å.
Element x y z (fractional)
Nd 0.0000 0.0570 0.0000  3 Hg 3.20-3.25, 1 Tm 3.54
Nd 0.0000 0.9430 0.5000  3 Hg 3.20-3.25, 1 Tm 3.54
Tm 0.0000 0.3291 0.6497  4 Hg 2.96-3.09
Tm 0.0000 0.6709 0.1497  4 Hg 2.96-3.09
Tm 0.5000 0.1819 0.3180  4 Hg 3.02-3.11
Tm 0.5000 0.4423 0.9668  3 Hg 3.14-3.24, 1 Tm 3.47
Tm 0.5000 0.5577 0.4668  3 Hg 3.14-3.24, 1 Tm 3.47
Tm 0.5000 0.8181 0.8180  4 Hg 3.02-3.11
Hg 0.0000 0.3558 0.2272  6 Tm 2.96-3.24, 1 Nd 3.20
Hg 0.0000 0.6442 0.7272  6 Tm 2.96-3.24, 1 Nd 3.20
Hg 0.5000 0.1503 0.7397  5 Tm 3.02-3.14, 2 Nd 3.25
Hg 0.5000 0.8497 0.2397  5 Tm 3.02-3.14, 2 Nd 3.25

---

Entry 6:
## Nd3Tm3Hg2 (PBE-GGA)

Data for a geometry-optimized Nd3Tm3Hg2 structure.

As for the space-group type: No. 63. The value obtained for the energy relative to the elements is -0.19 eV per atom. The value obtained for the density of states at the Fermi level is 15.871 states/eV per cell.

Cell lengths 6.4193, 6.4193, 16.0255 Å; angles 90.00, 90.00, 132.56 degrees
Last column: nearest neighbours and their distance in Å.
Element x y z (fractional)
Nd 0.0402 0.9598 0.6074  1 Hg 3.24, 4 Tm 3.47-3.55, 1 Nd 3.57
Nd 0.0402 0.9598 0.8926  1 Hg 3.24, 4 Tm 3.47-3.55, 1 Nd 3.57
Nd 0.2858 0.7142 0.7500  4 Hg 3.29, 5 Tm 3.37-3.60, 2 Nd 3.68
Nd 0.7142 0.2858 0.2500  4 Hg 3.29, 5 Tm 3.37-3.60, 2 Nd 3.68
Nd 0.9598 0.0402 0.1074  1 Hg 3.24, 4 Tm 3.47-3.55, 1 Nd 3.57
Nd 0.9598 0.0402 0.3926  1 Hg 3.24, 4 Tm 3.47-3.55, 1 Nd 3.57
Tm 0.3580 0.6420 0.5358  3 Hg 2.94-3.14
Tm 0.3580 0.6420 0.9642  3 Hg 2.94-3.14
Tm 0.4272 0.5728 0.2500  2 Hg 3.04, 1 Nd 3.37
Tm 0.5728 0.4272 0.7500  2 Hg 3.04, 1 Nd 3.37
Tm 0.6420 0.3580 0.0358  3 Hg 2.94-3.14
Tm 0.6420 0.3580 0.4642  3 Hg 2.94-3.14
Hg 0.2346 0.7654 0.1235  4 Tm 2.94-3.14, 1 Nd 3.24
Hg 0.2346 0.7654 0.3765  4 Tm 2.94-3.14, 1 Nd 3.24
Hg 0.7654 0.2346 0.6235  4 Tm 2.94-3.14, 1 Nd 3.24
Hg 0.7654 0.2346 0.8765  4 Tm 2.94-3.14, 1 Nd 3.24

---

Entry 7:
## Nd6Tm2Hg (PBE-GGA)

Data for a geometry-optimized Nd6Tm2Hg structure.

As for the space-group type: No. 65. The value obtained for the energy relative to the elements is 0.03 eV per atom. The value obtained for the density of states at the Fermi level is 17.237 states/eV per cell.

Cell lengths 9.8492, 9.8492, 3.4287 Å; angles 90.00, 90.00, 120.29 degrees
Last column: nearest neighbours and their distance in Å.
Element x y z (fractional)
Nd 0.0006 0.3266 0.0000  5 Nd 3.20-3.43
Nd 0.3238 0.3238 0.0000  5 Nd 3.20-3.46
Nd 0.3266 0.0006 0.0000  5 Nd 3.20-3.43
Nd 0.6734 0.9994 0.0000  5 Nd 3.20-3.43
Nd 0.6762 0.6762 0.0000  5 Nd 3.20-3.46
Nd 0.9994 0.6734 0.0000  5 Nd 3.20-3.43
Tm 0.3333 0.6667 0.5000  2 Tm 3.43, 12 Nd 3.72-3.75
Tm 0.6667 0.3333 0.5000  2 Tm 3.43, 12 Nd 3.72-3.75
Hg 0.0000 0.0000 0.5000  2 Hg 3.43, 12 Nd 3.61-3.64

---

Entry 8:
## NdTm2Hg3 (PBE-GGA)

Data for a geometry-optimized NdTm2Hg3 structure.

As for the space-group type: No. 123. The value obtained for the energy relative to the elements is -0.47 eV per atom. The value obtained for the density of states at the Fermi level is 5.058 states/eV per cell.

Cell lengths 3.7121, 3.7121, 11.2891 Å; angles 90.00, 90.00, 90.00 degrees
Last column: nearest neighbours and their distance in Å.
Element x y z (fractional)
Nd 0.0000 0.0000 0.0000  8 Hg 3.34, 4 Nd 3.71
Tm 0.0000 0.0000 0.3384  8 Hg 3.15-3.20
Tm 0.0000 0.0000 0.6616  8 Hg 3.15-3.20
Hg 0.5000 0.5000 0.1835  4 Tm 3.15, 4 Nd 3.34
Hg 0.5000 0.5000 0.5000  8 Tm 3.20, 2 Hg 3.57
Hg 0.5000 0.5000 0.8165  4 Tm 3.15, 4 Nd 3.34

---

Entry 9:
## NdTm2Hg2 (PBE-GGA)

Data for a geometry-optimized NdTm2Hg2 structure.

As for the space-group type: No. 164. The value obtained for the energy relative to the elements is -0.22 eV per atom. The value obtained for the density of states at the Fermi level is 6.477 states/eV per cell.

Cell lengths 5.1589, 5.1589, 6.4427 Å; angles 90.00, 90.00, 120.00 degrees
Last column: nearest neighbours and their distance in Å.
Element x y z (fractional)
Nd 0.0000 0.0000 0.0000  6 Hg 3.23
Tm 0.3333 0.6667 0.6595  4 Hg 3.00-3.12
Tm 0.6667 0.3333 0.3405  4 Hg 3.00-3.12
Hg 0.3333 0.6667 0.1943  4 Tm 3.00-3.12, 3 Nd 3.23
Hg 0.6667 0.3333 0.8057  4 Tm 3.00-3.12, 3 Nd 3.23

---

Entry 10:
## NdTm2Hg8 (PBE-GGA)

Data for a geometry-optimized NdTm2Hg8 structure.

As for the space-group type: No. 71. The value obtained for the energy relative to the elements is -0.29 eV per atom. The value obtained for the density of states at the Fermi level is 6.264 states/eV per cell.

Cell lengths 8.5236, 8.5236, 8.5236 Å; angles 145.36, 127.35, 64.57 degrees
Last column: nearest neighbours and their distance in Å.
Element x y z (fractional)
Nd 0.0000 0.0000 0.0000  12 Hg 3.10-3.40
Tm 0.3054 0.3054 0.0000  10 Hg 3.05-3.33
Tm 0.6946 0.6946 0.0000  10 Hg 3.05-3.33
Hg 0.1402 0.8487 0.2915  3 Tm 3.05-3.13, 1 Nd 3.10, 6 Hg 3.15-3.36
Hg 0.1557 0.6557 0.5000  8 Hg 3.18-3.36, 2 Tm 3.33, 2 Nd 3.39
Hg 0.2983 0.5000 0.7983  7 Hg 3.05-3.35, 2 Tm 3.19, 2 Nd 3.40
Hg 0.4428 0.1513 0.2915  3 Tm 3.05-3.13, 1 Nd 3.10, 6 Hg 3.15-3.36
Hg 0.5572 0.8487 0.7085  3 Tm 3.05-3.13, 1 Nd 3.10, 6 Hg 3.15-3.36
Hg 0.7017 0.5000 0.2017  7 Hg 3.05-3.35, 2 Tm 3.19, 2 Nd 3.40
Hg 0.8443 0.3443 0.5000  8 Hg 3.18-3.36, 2 Tm 3.33, 2 Nd 3.39
Hg 0.8598 0.1513 0.7085  3 Tm 3.05-3.13, 1 Nd 3.10, 6 Hg 3.15-3.36